A plane-wave DFT calculation with PBE was carried out for crystalline TlPSe2 at its relaxed geometry.

abc: 4.1120 16.1796 3.6883
angles: 90.00 90.00 90.00
With the nearest neighbours (Å) after each atom.
Space group Cmmm (No. 65)
Symmetry-distinct sites (fractional):
Tl (0.0000, 0.0000, 0.0000) [2 per cell]  4 P 2.76
P (0.0000, 0.5000, 0.5000) [2 per cell]  4 Tl 2.76
Se (0.0000, 0.2131, 0.0000) [4 per cell]  2 Se 2.38

- N(E_F): 0.6388 states/eV per atom
- Uncorrected energy: -3.24 eV/atom



A plane-wave DFT calculation with PBE was carried out for crystalline Tl2PSe at its relaxed geometry.

abc: 3.8724 3.8158 6.6758
angles: 90.00 90.13 90.00
With the nearest neighbours (Å) after each atom.
Space group P2/m (No. 10)
Symmetry-distinct sites (fractional):
Tl (0.0017, 0.0000, 0.2583) [2 per cell]  4 P 3.15-3.17, 4 Se 3.22, 2 Tl 3.23-3.45
P (0.5000, 0.5000, 0.5000) [1 per cell]  8 Tl 3.15-3.17, 2 Se 3.34
Se (0.5000, 0.5000, 0.0000) [1 per cell]  8 Tl 3.22, 2 P 3.34

- Polymorph energy (0 for the lowest one): 0.2634 eV per atom
- N(E_F): 0.7698 states/eV per atom
- Uncorrected energy: -3.12 eV/atom



A plane-wave DFT calculation with PBE was carried out for crystalline Tl2PSe at its relaxed geometry.

abc: 12.3213 3.6176 5.5599
angles: 90.00 94.46 90.00
With the nearest neighbours (Å) after each atom.
Space group Cm (No. 8)
Symmetry-distinct sites (fractional):
Tl (0.0000, 0.0000, 0.0000) [2 per cell]  2 P 3.11, 4 Se 3.29-3.39
Tl (0.2319, 0.5000, 0.5651) [2 per cell]  2 P 2.99, 1 Se 3.27
P (0.3245, 0.0000, 0.2058) [2 per cell]  1 Se 2.24
Se (0.4659, 0.0000, 0.4835) [2 per cell]  1 P 2.24

- Polymorph energy (0 for the lowest one): 0.0000 eV per atom
- N(E_F): 0.3222 states/eV per atom
- Uncorrected energy: -3.39 eV/atom



A plane-wave DFT calculation with PBE was carried out for crystalline Tl2PSe at its relaxed geometry.

abc: 4.7069 4.3068 11.8403
angles: 90.00 90.00 90.00
With the nearest neighbours (Å) after each atom.
Space group Amm2 (No. 38)
Symmetry-distinct sites (fractional):
Tl (0.0000, 0.0000, 0.0000) [2 per cell]  2 Se 3.13, 4 P 3.48
Tl (0.5000, 0.0000, 0.2943) [2 per cell]  2 P 3.01
P (0.5000, 0.0000, 0.6168) [2 per cell]  2 Se 2.52
Se (0.0000, 0.0000, 0.6921) [2 per cell]  2 P 2.52

- Polymorph energy (0 for the lowest one): 0.0415 eV per atom
- N(E_F): 0.4261 states/eV per atom
- Uncorrected energy: -3.35 eV/atom



A plane-wave DFT calculation with PBE was carried out for crystalline Tl2PSe at its relaxed geometry.

abc: 4.0778 4.0778 12.5231
angles: 90.00 90.00 90.00
With the nearest neighbours (Å) after each atom.
Space group I-4m2 (No. 119)
Symmetry-distinct sites (fractional):
Tl (0.0000, 0.0000, 0.0000) [2 per cell]  4 Se 2.88
Tl (0.0000, 0.5000, 0.2500) [2 per cell]  4 P 2.88
P (0.0000, 0.5000, 0.7500) [2 per cell]  4 Tl 2.88
Se (0.0000, 0.0000, 0.5000) [2 per cell]  4 Tl 2.88

- Polymorph energy (0 for the lowest one): 0.2952 eV per atom
- N(E_F): 0.8620 states/eV per atom
- Uncorrected energy: -3.09 eV/atom



A plane-wave DFT calculation with PBE was carried out for crystalline Tl2PSe at its relaxed geometry.

abc: 3.6371 4.1485 15.0201
angles: 90.00 90.00 90.00
With the nearest neighbours (Å) after each atom.
Space group Immm (No. 71)
Symmetry-distinct sites (fractional):
Tl (0.0000, 0.0000, 0.1620) [4 per cell]  2 P 3.04, 2 Se 3.20
P (0.0000, 0.5000, 0.5000) [2 per cell]  4 Se 2.76, 4 Tl 3.04
Se (0.0000, 0.5000, 0.0000) [2 per cell]  4 P 2.76

- Polymorph energy (0 for the lowest one): 0.0931 eV per atom
- N(E_F): 0.5748 states/eV per atom
- Uncorrected energy: -3.29 eV/atom



A plane-wave DFT calculation with PBE was carried out for crystalline TlPSe2 at its relaxed geometry.

abc: 3.4174 3.4174 7.7318
angles: 90.00 90.00 90.00
With the nearest neighbours (Å) after each atom.
Space group P4/mmm (No. 123)
Symmetry-distinct sites (fractional):
Tl (0.0000, 0.0000, 0.0000) [1 per cell]  8 Se 3.37, 4 Tl 3.42
P (0.0000, 0.0000, 0.5000) [1 per cell]  8 Se 2.85
Se (0.5000, 0.5000, 0.3039) [2 per cell]  4 P 2.85, 1 Se 3.03

- N(E_F): 0.5816 states/eV per atom
- Uncorrected energy: -3.34 eV/atom



A plane-wave DFT calculation with PBE was carried out for crystalline Tl4PSe at its relaxed geometry.

abc: 8.9678 8.9678 8.9678
angles: 90.00 90.00 90.00
With the nearest neighbours (Å) after each atom.
Space group F-43m (No. 216)
Symmetry-distinct sites (fractional):
Tl (0.1250, 0.1250, 0.1250) [16 per cell]  6 Tl 3.17
P (0.2500, 0.2500, 0.7500) [4 per cell]  12 Tl 3.72, 4 Se 3.88
Se (0.0000, 0.0000, 0.5000) [4 per cell]  12 Tl 3.72, 4 P 3.88

- N(E_F): 0.5008 states/eV per atom
- Uncorrected energy: -2.62 eV/atom



A plane-wave DFT calculation with PBE was carried out for crystalline Tl3PSe3 at its relaxed geometry.

abc: 6.7173 9.9930 7.0919
angles: 90.00 111.18 90.00
With the nearest neighbours (Å) after each atom.
Space group P2_1/m (No. 11)
Symmetry-distinct sites (fractional):
Tl (0.0362, 0.2500, 0.1124) [2 per cell]  5 Se 3.17-3.43, 1 P 3.45
Tl (0.3555, 0.0661, 0.7246) [4 per cell]  4 Se 3.13-3.46, 1 P 3.44
P (0.1075, 0.7500, 0.4669) [2 per cell]  3 Se 2.29-2.30
Se (0.1670, 0.5678, 0.2976) [4 per cell]  1 P 2.29
Se (0.3812, 0.7500, 0.7767) [2 per cell]  1 P 2.30

- Uncorrected energy: -3.58 eV/atom



A plane-wave DFT calculation with PBE was carried out for crystalline TlPSe2 at its relaxed geometry.

abc: 4.9612 4.9612 3.5403
angles: 90.00 90.00 90.00
With the nearest neighbours (Å) after each atom.
Space group P4/mmm (No. 123)
Symmetry-distinct sites (fractional):
Tl (0.0000, 0.0000, 0.0000) [1 per cell]  8 Se 3.05
P (0.5000, 0.5000, 0.0000) [1 per cell]  8 Se 3.05
Se (0.0000, 0.5000, 0.5000) [2 per cell]  4 Tl 3.05, 4 P 3.05

- N(E_F): 0.5272 states/eV per atom
- Uncorrected energy: -3.22 eV/atom



A plane-wave DFT calculation with PBE was carried out for crystalline TlPSe2 at its relaxed geometry.

abc: 7.0327 7.0327 7.0327
angles: 90.00 90.00 90.00
With the nearest neighbours (Å) after each atom.
Space group F-43m (No. 216)
Symmetry-distinct sites (fractional):
Tl (0.0000, 0.0000, 0.0000) [4 per cell]  4 Se 3.05, 4 P 3.05
P (0.2500, 0.2500, 0.7500) [4 per cell]  4 Tl 3.05, 4 Se 3.05
Se (0.0000, 0.0000, 0.5000) [4 per cell]  4 Se 3.05, 4 P 3.05
Se (0.2500, 0.2500, 0.2500) [4 per cell]  4 Se 3.05, 4 Tl 3.05

- N(E_F): 0.9077 states/eV per atom
- Uncorrected energy: -3.10 eV/atom



A plane-wave DFT calculation with PBE was carried out for crystalline TlPSe2 at its relaxed geometry.

abc: 8.3057 4.8751 12.3171
angles: 90.00 104.11 90.00
With the nearest neighbours (Å) after each atom.
Space group P2_1 (No. 4)
Symmetry-distinct sites (fractional):
Tl (0.0439, 0.0000, 0.3416) [2 per cell]  3 Se 3.11-3.47, 1 P 3.47
Tl (0.3825, 0.4231, 0.8281) [2 per cell]  3 Se 3.09-3.29, 1 P 3.30
P (0.1383, 0.1719, 0.0911) [2 per cell]  3 Se 2.24-2.34
P (0.4320, 0.6948, 0.5929) [2 per cell]  3 Se 2.25-2.35
Se (0.0698, 0.9909, 0.9097) [2 per cell]  2 P 2.32-2.34
Se (0.2003, 0.9308, 0.5970) [2 per cell]  1 P 2.25
Se (0.3629, 0.5240, 0.4106) [2 per cell]  2 P 2.33-2.35
Se (0.3722, 0.3958, 0.0853) [2 per cell]  1 P 2.24

- Uncorrected energy: -3.86 eV/atom



A plane-wave DFT calculation with PBE was carried out for crystalline Tm8Tl4PSe3 at its relaxed geometry.

abc: 13.4617 7.7469 9.0495
angles: 90.00 119.81 90.00
With the nearest neighbours (Å) after each atom.
Space group C2/m (No. 12)
Symmetry-distinct sites (fractional):
Tm (0.0102, 0.2418, 0.2888) [8 per cell]  1 P 2.73, 2 Se 2.82
Tm (0.2317, 0.0000, 0.7113) [4 per cell]  1 P 2.73, 2 Se 2.82
Tm (0.2401, 0.5000, 0.7200) [4 per cell]  3 Se 2.83, 3 Tl 3.14
Tl (0.0000, 0.0000, 0.0000) [2 per cell]  6 Tm 3.14-3.16
Tl (0.0000, 0.5000, 0.0000) [2 per cell]  6 Tm 3.24
Tl (0.2500, 0.2500, 0.0000) [4 per cell]  6 Tm 3.14-3.16
P (0.0000, 0.0000, 0.5000) [2 per cell]  6 Tm 2.73
Se (0.0000, 0.5000, 0.5000) [2 per cell]  6 Tm 2.82-2.83
Se (0.2500, 0.2500, 0.5000) [4 per cell]  6 Tm 2.82-2.83

- N(E_F): 0.4981 states/eV per atom
- Uncorrected energy: -4.81 eV/atom



A plane-wave DFT calculation with PBE was carried out for crystalline Tm8Tl4P3Se at its relaxed geometry.

abc: 13.3582 7.7236 9.0301
angles: 90.00 119.47 90.00
With the nearest neighbours (Å) after each atom.
Space group C2/m (No. 12)
Symmetry-distinct sites (fractional):
Tm (0.0173, 0.2424, 0.2939) [8 per cell]  2 P 2.73, 1 Se 2.81
Tm (0.2334, 0.0000, 0.7004) [4 per cell]  3 P 2.73
Tm (0.2403, 0.5000, 0.7061) [4 per cell]  2 P 2.73, 1 Se 2.81
Tl (0.0000, 0.0000, 0.0000) [2 per cell]  6 Tm 3.16-3.17
Tl (0.0000, 0.5000, 0.0000) [2 per cell]  6 Tm 3.23-3.24
Tl (0.2500, 0.2500, 0.0000) [4 per cell]  6 Tm 3.23-3.24
P (0.0000, 0.0000, 0.5000) [2 per cell]  6 Tm 2.73
P (0.2500, 0.2500, 0.5000) [4 per cell]  6 Tm 2.73
Se (0.0000, 0.5000, 0.5000) [2 per cell]  6 Tm 2.81

- N(E_F): 0.5177 states/eV per atom
- Uncorrected energy: -5.03 eV/atom



A plane-wave DFT calculation with PBE was carried out for crystalline Tm6TlP2Se3 at its relaxed geometry.

abc: 17.7243 3.9898 8.2639
angles: 90.00 103.34 90.00
With the nearest neighbours (Å) after each atom.
Space group C2/m (No. 12)
Symmetry-distinct sites (fractional):
Tm (0.0062, 0.0000, 0.2632) [4 per cell]  1 P 2.80, 3 Se 2.81-2.98, 2 Tl 2.93
Tm (0.1702, 0.5000, 0.1046) [4 per cell]  2 P 2.78, 3 Se 2.82-3.00, 1 Tl 2.94
Tm (0.1732, 0.5000, 0.5717) [4 per cell]  3 P 2.73-2.76, 3 Se 2.95-2.99
Tl (0.0000, 0.5000, 0.0000) [2 per cell]  6 Tm 2.93-2.94
P (0.1684, 0.0000, 0.3382) [4 per cell]  6 Tm 2.73-2.80
Se (0.0000, 0.5000, 0.5000) [2 per cell]  6 Tm 2.81-2.99
Se (0.1665, 0.0000, 0.8312) [4 per cell]  6 Tm 2.82-3.00

- N(E_F): 0.3392 states/eV per atom
- Uncorrected energy: -5.64 eV/atom



A plane-wave DFT calculation with PBE was carried out for crystalline Tm8Tl3PSe3 at its relaxed geometry.

abc: 13.4450 7.7773 8.9064
angles: 90.00 120.16 90.00
With the nearest neighbours (Å) after each atom.
Space group C2/m (No. 12)
Symmetry-distinct sites (fractional):
Tm (0.0088, 0.2408, 0.2854) [8 per cell]  1 P 2.72, 2 Se 2.82
Tm (0.2323, 0.0000, 0.7148) [4 per cell]  1 P 2.72, 2 Se 2.82
Tm (0.2403, 0.5000, 0.7212) [4 per cell]  3 Se 2.82, 3 Tl 3.10-3.11
Tl (0.0000, 0.0000, 0.0000) [2 per cell]  6 Tm 3.11
Tl (0.2500, 0.2500, 0.0000) [4 per cell]  6 Tm 3.10-3.11
P (0.0000, 0.0000, 0.5000) [2 per cell]  6 Tm 2.72
Se (0.0000, 0.5000, 0.5000) [2 per cell]  6 Tm 2.82
Se (0.2500, 0.2500, 0.5000) [4 per cell]  6 Tm 2.82

- N(E_F): 0.5979 states/eV per atom
- Uncorrected energy: -4.86 eV/atom



A plane-wave DFT calculation with PBE was carried out for crystalline TlVP2Se8 at its relaxed geometry.

abc: 6.2415 6.2415 28.9968
angles: 90.00 90.00 120.00
With the nearest neighbours (Å) after each atom.
Space group R-3 (No. 148, hexagonal axes)
Symmetry-distinct sites (fractional):
Tl (0.0000, 0.0000, 0.0000) [3 per cell]  12 Se 3.66-3.99
V (0.0000, 0.0000, 0.5000) [3 per cell]  6 Se 2.47
P (0.0000, 0.0000, 0.2374) [6 per cell]  4 Se 2.15-2.29
Se (0.0000, 0.0000, 0.3117) [6 per cell]  1 P 2.15
Se (0.0042, 0.6504, 0.7855) [18 per cell]  1 P 2.29, 1 V 2.47

- N(E_F): 0.2649 states/eV per atom
- Uncorrected energy: -4.35 eV/atom



A plane-wave DFT calculation with PBE was carried out for crystalline TlV6PSe7 at its relaxed geometry.

abc: 9.5765 9.5765 3.3777
angles: 90.00 90.00 120.00
With the nearest neighbours (Å) after each atom.
Space group P3 (No. 143)
Symmetry-distinct sites (fractional):
Tl (0.0000, 0.0000, 0.0000) [1 per cell]  9 Se 3.14-3.45, 2 Tl 3.38
V (0.1312, 0.5081, 0.5057) [3 per cell]  2 P 2.44, 4 Se 2.46-2.69
V (0.4870, 0.3682, 0.0054) [3 per cell]  6 Se 2.44-2.69
P (0.3333, 0.6667, 0.0057) [1 per cell]  6 V 2.44
Se (0.0529, 0.7165, 0.5053) [3 per cell]  4 V 2.46-2.69
Se (0.3480, 0.0452, 0.0057) [3 per cell]  4 V 2.44-2.69
Se (0.6667, 0.3333, 0.5054) [1 per cell]  6 V 2.55

- N(E_F): 0.8317 states/eV per atom
- Uncorrected energy: -6.48 eV/atom



A plane-wave DFT calculation with PBE was carried out for crystalline TlPW2Se at its relaxed geometry.

abc: 5.2673 5.2673 4.7879
angles: 90.00 90.00 90.00
With the nearest neighbours (Å) after each atom.
Space group P4/mmm (No. 123)
Symmetry-distinct sites (fractional):
Tl (0.0000, 0.0000, 0.0000) [1 per cell]  2 P 2.39, 4 W 2.63
P (0.0000, 0.0000, 0.5000) [1 per cell]  2 Tl 2.39
W (0.0000, 0.5000, 0.0000) [2 per cell]  2 Tl 2.63
Se (0.5000, 0.5000, 0.5000) [1 per cell]  8 W 3.56, 4 P 3.72

- N(E_F): 0.8086 states/eV per atom
- Uncorrected energy: -4.67 eV/atom



A plane-wave DFT calculation with PBE was carried out for crystalline Y8Tl4PSe3 at its relaxed geometry.

abc: 13.7393 7.9095 9.1414
angles: 90.00 120.16 90.00
With the nearest neighbours (Å) after each atom.
Space group C2/m (No. 12)
Symmetry-distinct sites (fractional):
Y (0.0101, 0.2424, 0.2882) [8 per cell]  1 P 2.78, 2 Se 2.86
Y (0.2323, 0.0000, 0.7119) [4 per cell]  1 P 2.78, 2 Se 2.86
Y (0.2404, 0.5000, 0.7206) [4 per cell]  3 Se 2.87-2.88, 3 Tl 3.18
Tl (0.0000, 0.0000, 0.0000) [2 per cell]  6 Y 3.18-3.20
Tl (0.0000, 0.5000, 0.0000) [2 per cell]  6 Y 3.28
Tl (0.2500, 0.2500, 0.0000) [4 per cell]  6 Y 3.18-3.20
P (0.0000, 0.0000, 0.5000) [2 per cell]  6 Y 2.78
Se (0.0000, 0.5000, 0.5000) [2 per cell]  6 Y 2.86-2.88
Se (0.2500, 0.2500, 0.5000) [4 per cell]  6 Y 2.86-2.87

- N(E_F): 0.5410 states/eV per atom
- Uncorrected energy: -5.88 eV/atom



The evaluated total magnetic moment for the records listed, in turn: 0.306; 0.000; 0.000; 0.000; 0.000; 0.000; 0.000; 1.557; 0.000; 0.000; 0.000; 0.000; 0.000; 0.000; 0.000; 0.000; 0.043; 0.012; 4.700; 0.000 μB/f.u..